Material: Mn6ClO5
Method: DFT, PBE+U
State: relaxed

Summary:
**Crystal system**: monoclinic
**Space group**: No. 12
**Fermi-level density of states**: 0.17 states/eV per atom
**Energy**: -7.250 eV per atom

Cell: 5.735 5.735 5.727 Å, 100.02 100.02 119.62°
Sites, in units of the cell vectors:
1 Mn 0.035 0.409 0.240
2 Mn 0.226 0.226 0.778
3 Mn 0.409 0.035 0.240
4 Mn 0.591 0.965 0.760
5 Mn 0.774 0.774 0.222
6 Mn 0.965 0.591 0.760
7 Cl 0.500 0.500 0.500
8 O 0.000 0.000 0.000
9 O 0.168 0.832 0.500
10 O 0.341 0.659 0.000
11 O 0.659 0.341 0.000
12 O 0.832 0.168 0.500